No. 1
A plane-wave DFT calculation with GGA-PBE was carried out for a relaxed Pm2WN3 crystal.

For the mass density, the calculation gives 9.6 g cm⁻³. The uncorrected formation energy comes out at -1.132 eV/atom.

Unit cell a=6.9335 b=6.9335 c=6.9335 alpha=150.80 beta=146.64 gamma=44.92
Closest atoms and distances in Å follow each position.
Positions (direct):
Pm1 0.1488 0.1488 0.0000  7 N 2.46-2.65
Pm2 0.8512 0.8512 0.0000  7 N 2.46-2.65
W1 0.5000 0.5000 0.0000  4 N 1.99-2.04
N1 0.0000 0.5000 0.5000  2 W 1.99
N2 0.3409 0.3409 0.0000  1 W 2.04
N3 0.6591 0.6591 0.0000  1 W 2.04

No. 2
A plane-wave DFT calculation with GGA-PBE was carried out for a relaxed PmWN2 crystal.

For the mass density, the calculation gives 11.7 g cm⁻³. The uncorrected formation energy comes out at -0.713 eV/atom. For the energy above the most stable polymorph in this dataset, the calculation gives 0.969 eV/f.u.

Unit cell a=5.7790 b=5.7790 c=5.7790 alpha=32.83 beta=32.83 gamma=32.83
Closest atoms and distances in Å follow each position.
Positions (direct):
Pm1 0.0000 0.0000 0.0000  6 N 2.48
W1 0.5000 0.5000 0.5000  6 N 2.19
N1 0.2352 0.2352 0.2352  3 W 2.19
N2 0.7648 0.7648 0.7648  3 W 2.19

No. 3
A plane-wave DFT calculation with GGA-PBE was carried out for a relaxed PmWN2 crystal.

For the mass density, the calculation gives 11.5 g cm⁻³. The uncorrected formation energy comes out at -0.955 eV/atom. For the energy above the most stable polymorph in this dataset, the calculation gives 0.000 eV/f.u.

Unit cell a=5.8548 b=3.2923 c=10.7186 alpha=90.00 beta=90.00 gamma=90.00
Closest atoms and distances in Å follow each position.
Positions (direct):
Pm1 0.0792 0.2500 0.1443  7 N 2.41-2.55
Pm2 0.4208 0.7500 0.6443  7 N 2.41-2.55
Pm3 0.5792 0.2500 0.3557  7 N 2.41-2.55
Pm4 0.9208 0.7500 0.8557  7 N 2.41-2.55
W1 0.0633 0.7500 0.4055  5 N 2.12-2.32
W2 0.4367 0.2500 0.9055  5 N 2.12-2.32
W3 0.5633 0.7500 0.0945  5 N 2.12-2.32
W4 0.9367 0.2500 0.5945  5 N 2.12-2.32
N1 0.1649 0.2500 0.7476  2 W 2.12-2.32
N2 0.2484 0.2500 0.4890  3 W 2.15-2.16
N3 0.2516 0.7500 0.9890  3 W 2.15-2.16
N4 0.3351 0.7500 0.2476  2 W 2.12-2.32
N5 0.6649 0.2500 0.7524  2 W 2.12-2.32
N6 0.7484 0.2500 0.0110  3 W 2.15-2.16
N7 0.7516 0.7500 0.5110  3 W 2.15-2.16
N8 0.8351 0.7500 0.2524  2 W 2.12-2.32

Computed final energy (eV/cell) in order:
-54.224 -37.205 -152.695